(1)
! GGA-PBE ZrMnTc2, optimized geometry; values from VASP
! - DOS at the Fermi energy: 0.959 states/eV per atom
! - SG: Imm2
&SYSTEM
  ibrav = 0, nat = 4, ntyp = 3
/
ATOMIC_SPECIES
Tc 98.00 Tc.upf
Zr 91.22 Zr.upf
Mn 54.94 Mn.upf
CELL_PARAMETERS angstrom
5.2534 0.0276 -0.0436
2.3652 4.6909 0.0436
-3.3248 -3.1416 2.5840
ATOMIC_POSITIONS angstrom
Tc 2.9561 -0.3234 1.2702
Zr 3.8432 2.3803 0.0000
Tc 7.5838 4.6969 0.0000
Mn 1.3388 1.9009 1.3138



(2)
! GGA-PBE Zr2Mn2Tc, optimized geometry; values from VASP
! - DOS at the Fermi energy: 1.309 states/eV per atom
! - SG: P4/mbm
&SYSTEM
  ibrav = 0, nat = 10, ntyp = 3
/
ATOMIC_SPECIES
Zr 91.22 Zr.upf
Tc 98.00 Tc.upf
Mn 54.94 Mn.upf
CELL_PARAMETERS angstrom
-1.8975 2.6798 5.2010
-3.6352 -4.8243 1.1594
3.2697 -1.9372 2.1910
ATOMIC_POSITIONS angstrom
Zr -1.1931 -3.7723 2.8367
Zr -2.6318 -3.0827 5.5935
Tc -2.7664 -1.0722 3.1802
Mn -3.9299 -0.6597 5.2813
Mn -1.6325 1.0749 3.3865
Mn -1.6029 -1.4848 1.0792
Zr 0.3688 -0.9990 2.9580
Mn -3.9002 -3.2194 2.9739
Tc 0.0000 0.0000 0.0000
Zr -1.0700 -0.3094 5.7148



(3)
! GGA-PBE Zr2MnTc, optimized geometry; values from VASP
! - DOS at the Fermi energy: 1.207 states/eV per atom
! - SG: Pmmm
&SYSTEM
  ibrav = 0, nat = 4, ntyp = 3
/
ATOMIC_SPECIES
Zr 91.22 Zr.upf
Tc 98.00 Tc.upf
Mn 54.94 Mn.upf
CELL_PARAMETERS angstrom
4.6093 0.0000 0.0000
0.0000 4.5961 0.0000
0.0000 0.0000 3.2801
ATOMIC_POSITIONS angstrom
Zr 0.0000 0.0000 0.0000
Tc 0.0000 2.2980 1.6401
Mn 2.3047 0.0000 1.6401
Zr 2.3047 2.2980 0.0000



(4)
! GGA-PBE ZrMnTc2, optimized geometry; values from VASP
! - DOS at the Fermi energy: 1.053 states/eV per atom
! - SG: P4/mmm
&SYSTEM
  ibrav = 0, nat = 4, ntyp = 3
/
ATOMIC_SPECIES
Tc 98.00 Tc.upf
Zr 91.22 Zr.upf
Mn 54.94 Mn.upf
CELL_PARAMETERS angstrom
-0.0886 1.7685 4.0526
-1.3488 -3.8711 1.6598
3.0827 -0.8805 0.4516
ATOMIC_POSITIONS angstrom
Tc -0.7187 -1.0513 2.8562
Zr 1.4971 0.4440 2.2521
Mn 0.8670 -2.3758 1.0557
Tc 0.0000 0.0000 0.0000



no.,spin magnetization (μB per cell),energy of formation (eV/atom)
1,2.66,-0.040
2,0.00,-0.038
3,1.30,-0.189
4,1.83,-0.043